Record 1
GGA-PBE La2TiPd9, optimized geometry; VASP energy = -73.25 eV for the cell shown; DOS(E_F) = 6.606 states/eV/cell; symmetry = P4/mmm (123)
1.0
4.138 0.000 0.000
0.000 4.138 0.000
0.000 0.000 12.364
La Ti Pd
2 1 9
Cartesian
0.000 0.000 2.152
0.000 0.000 10.211
0.000 0.000 6.182
0.000 2.069 0.000
0.000 2.069 4.370
0.000 2.069 7.994
2.069 0.000 0.000
2.069 0.000 4.370
2.069 0.000 7.994
2.069 2.069 2.185
2.069 2.069 6.182
2.069 2.069 10.179

***

Record 2
GGA-PBE Tm2MgGe2, optimized geometry; VASP energy = -47.06 eV for the cell shown; DOS(E_F) = 1.705 states/eV/cell; symmetry = P4/mbm (127)
1.0
7.188 0.000 0.000
0.000 7.188 0.000
0.000 0.000 4.192
Tm Mg Ge
4 2 4
Cartesian
1.270 2.324 0.000
2.324 5.917 0.000
4.864 1.270 0.000
5.917 4.864 0.000
0.000 0.000 2.096
3.594 3.594 2.096
0.897 4.491 2.096
2.697 0.897 2.096
4.491 6.291 2.096
6.291 2.697 2.096